## CuTc2Ir (PBE)

Data for a geometry-optimized CuTc2Ir structure.

Structure (POSCAR):
```
CuTc2Ir
1.0
5.5811 0.0000 0.0000
0.0000 5.5811 0.0000
0.0000 0.0000 10.5158
Cu Tc Ir
4 8 4
direct
0.0000 0.0000 0.0000 Cu
0.0000 0.5000 0.2500 Cu
0.5000 0.0000 0.7500 Cu
0.5000 0.5000 0.5000 Cu
0.2482 0.2500 0.1250 Tc
0.2500 0.7482 0.3750 Tc
0.2500 0.7518 0.8750 Tc
0.2518 0.2500 0.6250 Tc
0.7482 0.7500 0.6250 Tc
0.7500 0.2482 0.8750 Tc
0.7500 0.2518 0.3750 Tc
0.7518 0.7500 0.1250 Tc
0.0000 0.0000 0.5000 Ir
0.0000 0.5000 0.7500 Ir
0.5000 0.0000 0.2500 Ir
0.5000 0.5000 0.0000 Ir
```

As for the total energy: -7.037 eV per atom. The density of states at the Fermi level is 3.225 states/eV/f.u. The calculation puts the volume at 328 Å³ per cell. The value obtained for the magnetization is 0.000 μB per atom.

## CuSe2Cl8 (PBE)

Data for a geometry-optimized CuSe2Cl8 structure.

Structure (POSCAR):
```
CuSe2Cl8
1.0
6.7836 -3.8286 0.0000
6.7836 3.8286 0.0000
-1.8839 0.0000 6.6704
Cu Se Cl
1 2 8
direct
0.0000 0.0000 0.0000 Cu
0.1564 0.1564 0.5874 Se
0.8436 0.8436 0.4126 Se
0.1686 0.7624 0.1995 Cl
0.2376 0.8314 0.8005 Cl
0.2441 0.2441 0.3620 Cl
0.2844 0.2844 0.8501 Cl
0.7156 0.7156 0.1499 Cl
0.7559 0.7559 0.6380 Cl
0.7624 0.1686 0.1995 Cl
0.8314 0.2376 0.8005 Cl
```

The energy relative to the elements, uncorrected is -0.2601 eV/atom. The density of states at the Fermi level is 7.551 states/eV/f.u. The calculation puts the volume at 346 Å³ per cell. The value obtained for the magnetization is 0.088 μB per atom.

## Ce2ErPu (PBE)

Data for a geometry-optimized Ce2ErPu structure.

Structure (POSCAR):
```
Ce2ErPu
1.0
3.3812 0.0000 0.0000
0.0000 3.3812 0.0000
0.0000 0.0000 9.6201
Ce Er Pu
2 1 1
direct
0.0000 0.0000 0.2307 Ce
0.0000 0.0000 0.7693 Ce
0.5000 0.5000 0.5000 Er
0.5000 0.5000 0.0000 Pu
```

As for the total energy: -7.584 eV per atom. The density of states at the Fermi level is 10.611 states/eV/f.u. The calculation puts the volume at 110 Å³ per cell. The value obtained for the magnetization is 1.086 μB per atom.

## Mg3ZnO4 (PBE)

Data for a geometry-optimized Mg3ZnO4 structure.

Structure (POSCAR):
```
Mg3ZnO4
1.0
4.6159 0.0000 0.0000
0.0000 4.6159 0.0000
0.0000 0.0000 4.6159
Mg Zn O
3 1 4
direct
0.0000 0.0000 0.5000 Mg
0.0000 0.5000 0.0000 Mg
0.5000 0.0000 0.0000 Mg
0.5000 0.5000 0.5000 Zn
0.2474 0.2474 0.7526 O
0.2474 0.7526 0.2474 O
0.7526 0.2474 0.2474 O
0.7526 0.7526 0.7526 O
```

The energy relative to the elements, uncorrected is -2.3174 eV/atom. The density of states at the Fermi level is 0.000 states/eV/f.u. The calculation puts the volume at 98 Å³ per cell. The value obtained for the magnetization is 0.000 μB per atom.

## BaNaGe3 (PBE)

Data for a geometry-optimized BaNaGe3 structure.

Structure (POSCAR):
```
BaNaGe3
1.0
2.4768 -13.2432 0.0000
2.4768 13.2432 0.0000
0.0000 0.0000 4.2244
Ba Na Ge
2 2 6
direct
0.0746 0.9254 0.7500 Ba
0.9254 0.0746 0.2500 Ba
0.2059 0.7941 0.2500 Na
0.7941 0.2059 0.7500 Na
0.3214 0.6786 0.2500 Ge
0.3741 0.6259 0.7500 Ge
0.4731 0.5269 0.7500 Ge
0.5269 0.4731 0.2500 Ge
0.6259 0.3741 0.2500 Ge
0.6786 0.3214 0.7500 Ge
```

As for the total energy: -3.744 eV per atom. The density of states at the Fermi level is 3.080 states/eV/f.u. The calculation puts the volume at 277 Å³ per cell. The value obtained for the magnetization is 0.000 μB per atom.

## Ni2MoCl (PBE)

Data for a geometry-optimized Ni2MoCl structure.

Structure (POSCAR):
```
Ni2MoCl
1.0
2.7649 0.0000 0.0000
0.0000 4.4036 0.0000
0.0000 0.0000 8.6155
Ni Mo Cl
4 2 2
direct
0.0000 0.0000 0.2372 Ni
0.0000 0.0000 0.7628 Ni
0.5000 0.5000 0.2628 Ni
0.5000 0.5000 0.7372 Ni
0.0000 0.5000 0.0000 Mo
0.5000 0.0000 0.5000 Mo
0.0000 0.5000 0.5000 Cl
0.5000 0.0000 0.0000 Cl
```

The energy relative to the elements, uncorrected is 0.4920 eV/atom. The density of states at the Fermi level is 4.719 states/eV/f.u. The calculation puts the volume at 105 Å³ per cell. The value obtained for the magnetization is 0.001 μB per atom.

> Which of these has the highest density of states at the Fermi level?

Ce2ErPu